This record from the Alexandria database describes a relaxed Cs3Tb2TlSe6 crystal. The functional is PBE.

Summary:
Crystal system: monoclinic
Space-group type: C2/m (12)
M_tot in μB per formula unit: 0.00
Formation energy without anion corrections in eV per atom: -1.31

a = 7.4484 Å, b = 7.4484 Å, c = 8.7525 Å
α = 98.14°, β = 98.14°, γ = 119.98°
With the nearest neighbours (Å) after each atom.
Element x y z (fractional)
Tb  0.3332  0.6668  0.0000  6 Se 2.93
Tb  0.6668  0.3332  0.0000  6 Se 2.93
Se  0.3992  0.0623  0.1872  2 Tb 2.93, 1 Tl 2.96
Se  0.6008  0.9377  0.8128  2 Tb 2.93, 1 Tl 2.96
Tl  0.0000  0.0000  0.0000  6 Se 2.96
Se  0.0623  0.3992  0.1872  2 Tb 2.93, 1 Tl 2.96
Se  0.9377  0.6008  0.8128  2 Tb 2.93, 1 Tl 2.96
Cs  0.1653  0.8347  0.5000  6 Se 3.61-3.62
Se  0.7252  0.7252  0.1870  2 Tb 2.93, 1 Tl 2.96
Se  0.2748  0.2748  0.8130  2 Tb 2.93, 1 Tl 2.96
Cs  0.5000  0.5000  0.5000  6 Se 3.60-3.62
Cs  0.8347  0.1653  0.5000  6 Se 3.61-3.62

***

This record from the Alexandria database describes a relaxed NaPmNiSb crystal. The functional is PBE.

Summary:
Crystal system: cubic
N(E_F) in states/eV/cell: 2.1
Space-group type: F-43m (216)
M_tot in μB per formula unit: 0.00
Formation energy without anion corrections in eV per atom: -0.25

a = 4.8906 Å, b = 4.8906 Å, c = 4.8906 Å
α = 60.00°, β = 60.00°, γ = 60.00°
With the nearest neighbours (Å) after each atom.
Element x y z (fractional)
Sb  0.0000  0.0000  0.0000  4 Na 2.99, 4 Ni 2.99
Ni  0.2500  0.2500  0.2500  4 Pm 2.99, 4 Sb 2.99
Na  0.7500  0.7500  0.7500  4 Pm 2.99, 4 Sb 2.99
Pm  0.5000  0.5000  0.5000  4 Na 2.99, 4 Ni 2.99

***

This record from the Alexandria database describes a relaxed LiHg2F8 crystal. The functional is PBE.

Summary:
Crystal system: triclinic
N(E_F) in states/eV/cell: 2.7
Relative energy among the computed polymorphs in meV per atom: 0
Space-group type: P1 (1)
M_tot in μB per formula unit: 1.46
Formation energy without anion corrections in eV per atom: -1.24

a = 4.3953 Å, b = 6.4445 Å, c = 6.9873 Å
α = 123.80°, β = 97.69°, γ = 94.56°
With the nearest neighbours (Å) after each atom.
Element x y z (fractional)
F  0.7755  0.7440  0.6705  1 Li 2.02, 1 Hg 2.08
F  0.7923  0.2715  0.1560  1 Li 1.95, 1 F 2.11
F  0.2233  0.2832  0.3406  1 Li 2.07, 1 Hg 2.11, 1 F 2.11
F  0.7790  0.2019  0.6062  2 Hg 2.22-2.27
Li  0.0571  0.0326  0.9793  5 F 1.93-2.07
Hg  0.6857  0.7024  0.3493  4 F 2.08-2.26
F  0.2070  0.7863  0.3865  2 Hg 2.23-2.26
F  0.6373  0.7232  0.0590  1 Hg 2.09, 1 F 2.14
F  0.3338  0.2460  0.9284  1 Li 1.97, 1 Hg 2.11
Hg  0.3040  0.2898  0.6488  4 F 2.11-2.27
F  0.2049  0.7191  0.8751  1 Li 1.93, 1 F 2.14

***

This record from the Alexandria database describes a relaxed CaIn3Ga3 crystal. The functional is PBE.

Summary:
Formation energy in eV/atom: 0.17
Crystal system: cubic
N(E_F) in states/eV/cell: 12.5
Space-group type: Pm-3n (223)
M_tot in μB per formula unit: 0.00

a = 7.5887 Å, b = 7.5887 Å, c = 7.5887 Å
α = 90.00°, β = 90.00°, γ = 90.00°
With the nearest neighbours (Å) after each atom.
Element x y z (fractional)
In  0.5000  0.7500  0.0000  4 Ga 2.68
In  0.0000  0.5000  0.7500  4 Ga 2.68
In  0.7500  0.0000  0.5000  4 Ga 2.68
In  0.5000  0.2500  0.0000  4 Ga 2.68
Ga  0.7500  0.5000  0.0000  4 In 2.68
Ga  0.5000  0.0000  0.2500  4 In 2.68
In  0.0000  0.5000  0.2500  4 Ga 2.68
Ga  0.5000  0.0000  0.7500  4 In 2.68
Ca  0.5000  0.5000  0.5000  12 In 4.24, 12 Ga 4.24
Ga  0.2500  0.5000  0.0000  4 In 2.68
Ga  0.0000  0.7500  0.5000  4 In 2.68
In  0.2500  0.0000  0.5000  4 Ga 2.68
Ga  0.0000  0.2500  0.5000  4 In 2.68
Ca  0.0000  0.0000  0.0000  12 In 4.24, 12 Ga 4.24

***

This record from the Alexandria database describes a relaxed TaCrP2 crystal. The functional is PBE.

Summary:
Formation energy in eV/atom: 0.01
Crystal system: orthorhombic
N(E_F) in states/eV/cell: 2.9
Relative energy among the computed polymorphs in meV per atom: 655
Space-group type: Cmm2 (35)
M_tot in μB per formula unit: 0.63

a = 2.7598 Å, b = 2.7598 Å, c = 9.5265 Å
α = 90.00°, β = 90.00°, γ = 106.93°
With the nearest neighbours (Å) after each atom.
Element x y z (fractional)
P  0.5000  0.5000  0.3173  2 Ta 2.54, 4 P 2.76
P  0.0000  0.0000  0.9168  2 Cr 2.31
Cr  0.5000  0.5000  0.7458  2 P 2.31
Ta  0.0000  0.0000  0.5201  2 P 2.54, 2 Cr 2.71, 4 Ta 2.76

***

This record from the Alexandria database describes a relaxed VBiHPd2 crystal. The functional is PBE.

Summary:
Final energy in eV/cell: -26.98
Crystal system: tetragonal
N(E_F) in states/eV/cell: 3.2
Space-group type: P4/mmm (123)
M_tot in μB per formula unit: 2.20

a = 4.1346 Å, b = 4.1346 Å, c = 4.2664 Å
α = 90.00°, β = 90.00°, γ = 90.00°
With the nearest neighbours (Å) after each atom.
Element x y z (fractional)
Pd  0.0000  0.5000  0.0000  2 H 2.07
V  0.0000  0.0000  0.5000  2 H 2.13
Pd  0.5000  0.0000  0.0000  2 H 2.07
Bi  0.5000  0.5000  0.5000  4 V 2.92, 8 Pd 2.97
H  0.0000  0.0000  0.0000  4 Pd 2.07, 2 V 2.13

***

This record from the Alexandria database describes a relaxed ThTlSn4 crystal. The functional is PBE.

Summary:
Formation energy in eV/atom: -0.08
Crystal system: cubic
N(E_F) in states/eV/cell: 3.8
Space-group type: F-43m (216)
M_tot in μB per formula unit: 0.00

a = 6.2017 Å, b = 6.2017 Å, c = 6.2017 Å
α = 60.00°, β = 60.00°, γ = 60.00°
With the nearest neighbours (Å) after each atom.
Element x y z (fractional)
Sn  0.1254  0.6249  0.6249  6 Sn 3.10
Sn  0.6249  0.6249  0.1254  6 Sn 3.10
Sn  0.6249  0.6249  0.6249  6 Sn 3.10
Sn  0.6249  0.1254  0.6249  6 Sn 3.10
Th  0.0000  0.0000  0.0000  12 Sn 3.64, 4 Tl 3.80
Tl  0.2500  0.2500  0.2500  12 Sn 3.64, 4 Th 3.80

***

This record from the Alexandria database describes a relaxed K2MnAlTe4 crystal. The functional is PBE.

Summary:
Crystal system: orthorhombic
N(E_F) in states/eV/cell: 8.3
Space-group type: Fddd (70)
M_tot in μB per formula unit: 3.99
Formation energy without anion corrections in eV per atom: -0.62

a = 6.3920 Å, b = 7.6966 Å, c = 13.3237 Å
α = 84.28°, β = 76.12°, γ = 65.46°
With the nearest neighbours (Å) after each atom.
Element x y z (fractional)
K  0.5653  0.5000  0.8694  8 Te 3.79-3.87, 2 Mn 4.20, 2 Al 4.20
Mn  0.2500  0.5000  0.5000  4 Te 2.66
Te  0.5910  0.2049  0.1200  1 Al 2.64, 1 Mn 2.66
K  0.9347  0.5000  0.1306  8 Te 3.79-3.87, 2 Mn 4.20, 2 Al 4.20
Al  0.0000  0.0000  0.0000  4 Te 2.64
Te  0.8341  0.7049  0.6200  1 Al 2.64, 1 Mn 2.66
Te  0.2041  0.2049  0.8800  1 Al 2.64, 1 Mn 2.66
Te  0.1590  0.2951  0.3800  1 Al 2.64, 1 Mn 2.66
K  0.1847  0.0000  0.6306  8 Te 3.79-3.87, 2 Mn 4.20, 2 Al 4.20
Mn  0.5000  0.0000  0.0000  4 Te 2.66
Al  0.7500  0.5000  0.5000  4 Te 2.64
Te  0.5459  0.2951  0.6200  1 Al 2.64, 1 Mn 2.66
Te  0.4610  0.7049  0.3800  1 Al 2.64, 1 Mn 2.66
Te  0.9159  0.7951  0.8800  1 Al 2.64, 1 Mn 2.66
Te  0.2890  0.7951  0.1200  1 Al 2.64, 1 Mn 2.66
K  0.8153  0.0000  0.3694  8 Te 3.79-3.87, 2 Al 4.20, 2 Mn 4.20

***

Question: M_tot of number 1 (Cs3Tb2TlSe6)?
Answer: 0.00 μB per formula unit

***

Question: The highest M_tot belongs to which entry?
Answer: K2MnAlTe4

***

Question: Which formula does entry 1 have?
Answer: Cs3Tb2TlSe6